The following is a DFT calculation (PBE-GGA) of a geometry-optimized Er5Cd structure.

a = 4.8028 Å, b = 4.8220 Å, c = 7.8155 Å
α = 107.97°, β = 90.00°, γ = 90.00°
Sites, in units of the cell vectors:
Cd (0.0000, 0.0000, 0.0000)
Er (0.5000, 0.8313, 0.6625)
Er (0.0000, 0.3366, 0.6732)
Er (0.5000, 0.5000, 0.0000)
Er (0.5000, 0.1687, 0.3375)
Er (0.0000, 0.6634, 0.3268)

Calculated values
The symmetry is Cmmm, No. 65. Its energy of formation from the pure elements is -0.32 eV/f.u.

=====

The following is a DFT calculation (PBE-GGA) of a geometry-optimized Mn3SnH structure.

a = 4.4205 Å, b = 4.4205 Å, c = 7.7533 Å
α = 90.00°, β = 90.00°, γ = 120.00°
Sites, in units of the cell vectors:
Mn (0.0000, 0.0000, 0.7500)
Mn (0.3333, 0.6667, 0.4114)
H (0.0000, 0.0000, 0.5000)
Mn (0.6667, 0.3333, 0.9114)
Sn (0.6667, 0.3333, 0.2500)
Mn (0.6667, 0.3333, 0.5886)
H (0.0000, 0.0000, 0.0000)
Sn (0.3333, 0.6667, 0.7500)
Mn (0.0000, 0.0000, 0.2500)
Mn (0.3333, 0.6667, 0.0886)

Calculated values
The symmetry is P6_3/mmc, No. 194.

=====

The following is a DFT calculation (PBE-GGA) of a geometry-optimized La2MgZr structure.

a = 8.1412 Å, b = 5.8519 Å, c = 3.5353 Å
α = 90.02°, β = 64.23°, γ = 124.35°
Sites, in units of the cell vectors:
Zr (0.5000, 0.5000, 0.0000)
La (0.5000, 0.0000, 0.5000)
La (0.0000, 0.0000, 0.0000)
Mg (0.0000, 0.5000, 0.5000)

Calculated values
The symmetry is Cmmm, No. 65. Its energy of formation from the pure elements is 0.37 eV/f.u.

=====

The following is a DFT calculation (PBE-GGA) of a geometry-optimized LiPm3Ge2 structure.

a = 6.2287 Å, b = 7.9515 Å, c = 7.5222 Å
α = 104.97°, β = 114.46°, γ = 90.00°
Sites, in units of the cell vectors:
Pm (0.8145, 0.9060, 0.6236)
Ge (0.3573, 0.9252, 0.7055)
Li (0.2239, 0.2500, 0.0000)
Ge (0.6518, 0.5748, 0.2945)
Pm (0.6756, 0.2500, 0.0000)
Pm (0.8091, 0.4060, 0.6236)
Li (0.7761, 0.7500, 0.0000)
Ge (0.3482, 0.4252, 0.7055)
Pm (0.3244, 0.7500, 0.0000)
Pm (0.1909, 0.5940, 0.3764)
Pm (0.1855, 0.0940, 0.3764)
Ge (0.6427, 0.0748, 0.2945)

Calculated values
The symmetry is C2/c, No. 15. Its energy of formation from the pure elements is -2.78 eV/f.u.

=====

The following is a DFT calculation (PBE-GGA) of a geometry-optimized Ce4MgOs structure.

a = 4.7671 Å, b = 4.7681 Å, c = 8.0072 Å
α = 90.00°, β = 90.02°, γ = 90.00°
Sites, in units of the cell vectors:
Os (0.4971, 0.5014, 0.0020)
Ce (0.9972, 0.5013, 0.2090)
Mg (0.9977, 0.0011, 0.5016)
Ce (0.4972, 0.0014, 0.2090)
Ce (0.9971, 0.5013, 0.7948)
Ce (0.4973, 0.0013, 0.7948)

Calculated values
The symmetry is P4/mmm, No. 123. Its energy of formation from the pure elements is 1.21 eV/f.u.

=====

The following is a DFT calculation (PBE-GGA) of a geometry-optimized Y3HgC structure.

a = 3.5058 Å, b = 8.3195 Å, c = 8.3195 Å
α = 129.87°, β = 90.00°, γ = 90.00°
Sites, in units of the cell vectors:
Hg (0.5000, 0.0927, 0.9073)
Y (0.5000, 0.6631, 0.7974)
C (0.0000, 0.4117, 0.5883)
Y (0.5000, 0.2026, 0.3369)
Y (0.0000, 0.2579, 0.7421)

Calculated values
The symmetry is Amm2, No. 38. Its energy of formation from the pure elements is 1.16 eV/f.u.

=====

Number 1: VASP energy -4.009 eV/atom, M_tot 0.00 μB per cell. Number 2: VASP energy -6.587 eV/atom, M_tot 17.25 μB per cell. Number 3: VASP energy -4.907 eV/atom, M_tot 0.00 μB per cell. Number 4: VASP energy -4.697 eV/atom, M_tot 0.00 μB per cell. Number 5: VASP energy -5.892 eV/atom, M_tot 3.97 μB per cell. Number 6: VASP energy -5.551 eV/atom, M_tot 0.00 μB per cell.